VASP calculation (PBE) on a relaxed Ca2TaP crystal.

The calculation puts the offset from the most stable computed form at 589.0 meV/atom.

The space group is I4/mmm (No. 139) and the conventional cell measures 4.0700, 4.0700 and 10.0229 Å, with angles of 90.00, 90.00 and 90.00 degrees. The asymmetric unit holds Ca at (0.0000, 0.5000, 0.2500), Ta at (0.0000, 0.0000, 0.0000) and P at (0.0000, 0.0000, 0.5000).

=====

VASP calculation (PBE) on a relaxed Ca2TaP crystal.

The calculation puts the offset from the most stable computed form at 170.2 meV/atom.

The space group is Amm2 (No. 38) and the conventional cell measures 4.0443, 4.4181 and 11.5507 Å, with angles of 90.00, 90.00 and 90.00 degrees. The asymmetric unit holds Ca at (0.0000, 0.0000, 0.0000), Ca at (0.5000, 0.0000, 0.3008), Ta at (0.5000, 0.0000, 0.5983) and P at (0.0000, 0.0000, 0.7157).

=====

VASP calculation (PBE) on a relaxed CaTaP4 crystal.

The total energy is -5.548 eV per atom.

The space group is F-43m (No. 216) and the conventional cell measures 7.3582, 7.3582 and 7.3582 Å, with angles of 90.00, 90.00 and 90.00 degrees. The asymmetric unit holds Ca at (0.0000, 0.0000, 0.0000), Ta at (0.2500, 0.2500, 0.2500) and P at (0.1218, 0.1218, 0.6218).

=====

VASP calculation (PBE) on a relaxed CaTaP2 crystal.

The calculation puts the offset from the most stable computed form at 682.6 meV/atom.

The space group is P4/mmm (No. 123) and the conventional cell measures 4.8481, 4.8481 and 2.9693 Å, with angles of 90.00, 90.00 and 90.00 degrees. The asymmetric unit holds Ca at (0.0000, 0.0000, 0.0000), Ta at (0.5000, 0.5000, 0.0000) and P at (0.0000, 0.5000, 0.5000).

=====

VASP calculation (PBE) on a relaxed CaTaP2 crystal.

The calculation puts the offset from the most stable computed form at 577.9 meV/atom.

The space group is C2/m (No. 12) and the conventional cell measures 6.8630, 7.1348 and 3.1064 Å, with angles of 90.00, 107.78 and 90.00 degrees. The asymmetric unit holds Ca at (0.0000, 0.0000, 0.0000), Ta at (0.0000, 0.5000, 0.0000) and P at (0.2500, 0.2500, 0.5000).

=====

VASP calculation (PBE) on a relaxed Ca2TaP crystal.

The calculation puts the offset from the most stable computed form at 600.7 meV/atom.

The space group is P4/mmm (No. 123) and the conventional cell measures 4.6195, 4.6195 and 4.2661 Å, with angles of 90.00, 90.00 and 90.00 degrees. The asymmetric unit holds Ca at (0.0000, 0.5000, 0.0000), Ta at (0.0000, 0.0000, 0.5000) and P at (0.5000, 0.5000, 0.5000).

=====

VASP calculation (PBE) on a relaxed Ca3Tb2TaP6 crystal.

The total energy is -6.108 eV per atom.

The space group is C2/m (No. 12) and the conventional cell measures 6.8361, 11.8513 and 7.0333 Å, with angles of 90.00, 109.13 and 90.00 degrees. The asymmetric unit holds Ca at (0.0000, 0.0000, 0.0000), Ca at (0.0000, 0.3283, 0.0000), Tb at (0.0000, 0.1659, 0.5000), Ta at (0.0000, 0.5000, 0.5000), P at (0.2305, 0.3451, 0.7274) and P at (0.2312, 0.5000, 0.2717).

=====

VASP calculation (PBE) on a relaxed CaTaTiP2 crystal.

The total energy is -4.890 eV per atom.

The space group is P4/mmm (No. 123) and the conventional cell measures 4.8749, 4.8749 and 4.3147 Å, with angles of 90.00, 90.00 and 90.00 degrees. The asymmetric unit holds Ca at (0.0000, 0.0000, 0.0000), Ta at (0.5000, 0.5000, 0.5000), Ti at (0.0000, 0.0000, 0.5000) and P at (0.0000, 0.5000, 0.0000).

=====

VASP calculation (PBE) on a relaxed Ca2TaTlP crystal.

The total energy is -3.476 eV per atom.

The space group is P4/mmm (No. 123) and the conventional cell measures 5.8288, 5.8288 and 5.0206 Å, with angles of 90.00, 90.00 and 90.00 degrees. The asymmetric unit holds Ca at (0.0000, 0.5000, 0.0000), Ta at (0.0000, 0.0000, 0.5000), Tl at (0.5000, 0.5000, 0.0000) and P at (0.5000, 0.5000, 0.5000).

=====

VASP calculation (PBE) on a relaxed Ca3Tm2TaP6 crystal.

The total energy is -6.091 eV per atom.

The space group is C2/m (No. 12) and the conventional cell measures 6.7692, 11.7302 and 7.0082 Å, with angles of 90.00, 108.92 and 90.00 degrees. The asymmetric unit holds Ca at (0.0000, 0.0000, 0.0000), Ca at (0.0000, 0.3289, 0.0000), Tm at (0.0000, 0.1660, 0.5000), Ta at (0.0000, 0.5000, 0.5000), P at (0.2315, 0.3433, 0.7249) and P at (0.2363, 0.5000, 0.2741).

=====

VASP calculation (PBE) on a relaxed CaZrTa2P crystal.

The total energy is -6.029 eV per atom.

The space group is P4/mmm (No. 123) and the conventional cell measures 4.7830, 4.7830 and 4.8519 Å, with angles of 90.00, 90.00 and 90.00 degrees. The asymmetric unit holds Ca at (0.0000, 0.0000, 0.0000), Zr at (0.5000, 0.5000, 0.5000), Ta at (0.0000, 0.5000, 0.0000) and P at (0.0000, 0.0000, 0.5000).

=====

VASP calculation (PBE) on a relaxed CaTbP2 crystal.

The calculation puts the offset from the most stable computed form at 0.0 meV/atom.

The space group is R-3m (No. 166, hexagonal axes) and the conventional cell measures 4.0430, 4.0430 and 20.4012 Å, with angles of 90.00, 90.00 and 120.00 degrees. The asymmetric unit holds Ca at (0.0000, 0.0000, 0.0000), Tb at (0.0000, 0.0000, 0.5000) and P at (0.0000, 0.0000, 0.2457).

=====

| no. | total magnetization (μB/cell) |
| --- | --- |
| 1 | 0.00 |
| 2 | 2.36 |
| 3 | 0.00 |
| 4 | 0.12 |
| 5 | 0.00 |
| 6 | 3.20 |
| 7 | 0.00 |
| 8 | 0.00 |
| 9 | 3.62 |
| 10 | 0.00 |
| 11 | 0.00 |
| 12 | 0.00 |